Model a:
TlIn6Br8: relaxed, PBE.

The density of states at the Fermi level comes out at 8.10 states/eV/cell. The magnetization comes out at 0.000 μB/cell.

The space group is P-3 (No. 147) and the conventional cell measures 11.4282, 11.4282 and 4.7259 Å, with angles of 90.00, 90.00 and 120.00 degrees. The inequivalent atoms are Tl at (0.0000, 0.0000, 0.0000), In at (0.1240, 0.4609, 0.7471), Br at (0.0352, 0.7353, 0.7524) and Br at (0.3333, 0.6667, 0.2465).

Model b:
TlIn6Br8: relaxed, PBE.

The density of states at the Fermi level comes out at 20.11 states/eV/cell. The magnetization comes out at 0.000 μB/cell.

The space group is R-3 (No. 148, hexagonal axes) and the conventional cell measures 11.8477, 11.8477 and 14.1111 Å, with angles of 90.00, 90.00 and 120.00 degrees. The inequivalent atoms are Tl at (0.0000, 0.0000, 0.0000), In at (0.0270, 0.1870, 0.6018), Br at (0.0000, 0.0000, 0.2351) and Br at (0.0134, 0.3659, 0.7275).

According to the calculations, the structures order from most to least stable as model a, model b.

Model a:
VIn2Br5: relaxed, PBE.

The density of states at the Fermi level comes out at 5.10 states/eV/cell. The magnetization comes out at 1.989 μB/cell.

The space group is P1 (No. 1) and the conventional cell measures 5.3553, 7.1632 and 7.4311 Å, with angles of 109.38, 90.05 and 111.93 degrees. The inequivalent atoms are V at (0.0000, 0.0000, 0.0000), In at (0.3678, 0.7324, 0.3477), In at (0.6328, 0.2676, 0.6500), Br at (0.1337, 0.2675, 0.3464), Br at (0.1546, 0.3096, 0.8801), Br at (0.5000, 0.0001, 0.0014), Br at (0.8454, 0.6902, 0.1197) and Br at (0.8665, 0.7329, 0.6537).

Model b:
VIn2Br5: relaxed, PBE.

The density of states at the Fermi level comes out at 0.59 states/eV/cell. The magnetization comes out at 4.000 μB/cell.

The space group is Cm (No. 8) and the conventional cell measures 11.6625, 9.5962 and 8.2805 Å, with angles of 90.00, 134.69 and 90.00 degrees. The inequivalent atoms are V at (0.0000, 0.0000, 0.0000), In at (0.4424, 0.2501, 0.4994), Br at (0.0832, 0.2320, 0.9998), Br at (0.2359, 0.0000, 0.4411), Br at (0.2947, 0.5000, 0.5588) and Br at (0.2970, 0.5000, 0.0006).

According to the calculations, the structures order from most to least stable as model b, model a.